No. 1
## ZnCuPd (GGA-PBE)

Data for a relaxed ZnCuPd crystal.

Cell and atoms, written as POSCAR:
```
ZnCuPd
1.0
4.4470 0.0000 0.0000
0.0000 4.5914 -0.7591
0.0000 -1.6161 4.3394
Zn Pd Cu
2 2 2
Direct
0.2500 0.8221 0.3319
0.7500 0.1779 0.6681
0.2500 0.4915 0.6803
0.7500 0.5085 0.3197
0.2500 0.1536 0.0064
0.7500 0.8464 0.9936
```

Density of states at the Fermi level, states/eV/cell: 2.710
DFT formation energy, eV/atom: -0.278
Total DFT energy (no corrections), eV/atom: -3.80

No. 2
## Sr3Li5Al6 (GGA-PBE)

Data for a relaxed Sr3Li5Al6 crystal.

Cell and atoms, written as POSCAR:
```
Sr3Li5Al6
1.0
4.3564 0.0000 1.1916
1.6373 8.5285 2.5732
-0.1359 -0.0342 9.0563
Sr Li Al
3 5 6
Direct
0.0000 0.0000 0.0000
0.6911 0.3089 0.3089
0.3089 0.6911 0.6911
0.6874 0.6319 0.9933
0.3126 0.3681 0.0067
0.6874 0.9933 0.6319
0.3126 0.0067 0.3681
0.0000 0.5000 0.5000
0.5000 0.7114 0.2886
0.5000 0.2886 0.7114
0.8922 0.3878 0.8278
0.1078 0.6122 0.1722
0.8922 0.8278 0.3878
0.1078 0.1722 0.6122
```

Density of states at the Fermi level, states/eV/cell: 8.963
DFT formation energy, eV/atom: -0.131
Total DFT energy (no corrections), eV/atom: -2.78

No. 3
## VCuPd3 (GGA-PBE)

Data for a relaxed VCuPd3 crystal.

Cell and atoms, written as POSCAR:
```
VCuPd3
1.0
-3.1471 1.2364 3.0856
-2.0145 -4.0893 -0.4161
2.6441 -1.6440 3.3556
Pd Cu V
3 1 1
Direct
0.0000 0.5000 0.0000
0.0000 0.0000 0.5000
0.5000 0.0000 0.0000
0.5000 0.5000 0.5000
0.0000 0.0000 0.0000
```

Density of states at the Fermi level, states/eV/cell: 3.067
DFT formation energy, eV/atom: 0.832
Total DFT energy (no corrections), eV/atom: -4.93

No. 4
## Sr2VIr (GGA-PBE)

Data for a relaxed Sr2VIr crystal.

Cell and atoms, written as POSCAR:
```
Sr2VIr
1.0
0.0000 3.7244 3.7244
3.7244 0.0000 3.7244
3.7244 3.7244 0.0000
Sr Ir V
2 1 1
Direct
0.2500 0.2500 0.2500
0.7500 0.7500 0.7500
0.5000 0.5000 0.5000
0.0000 0.0000 0.0000
```

Density of states at the Fermi level, states/eV/cell: 3.969
DFT formation energy, eV/atom: 0.533
Total DFT energy (no corrections), eV/atom: -4.80

No. 5
## Co2SiAg (GGA-PBE)

Data for a relaxed Co2SiAg crystal.

Cell and atoms, written as POSCAR:
```
Co2SiAg
1.0
4.5525 0.0168 0.0000
1.5271 4.2888 0.0000
-3.0398 -2.1528 2.6174
Ag Co Si
1 2 1
Direct
0.7500 0.2500 0.5000
0.0000 0.0000 0.0000
0.2500 0.7500 0.5000
0.5000 0.5000 0.0000
```

Density of states at the Fermi level, states/eV/cell: 3.801
Formation energy (no corrections), eV/f.u.: 0.8
Total DFT energy (no corrections), eV/atom: -5.43

No. 6
## Ho3Zn2Ir (GGA-PBE)

Data for a relaxed Ho3Zn2Ir crystal.

Cell and atoms, written as POSCAR:
```
Ho3Zn2Ir
1.0
4.9241 0.0000 0.0000
-2.4620 4.2644 0.0000
0.0000 0.0000 6.0880
Ho Zn Ir
3 2 1
Direct
0.0000 0.0000 0.5000
0.6667 0.3333 0.8465
0.3333 0.6667 0.1535
0.6667 0.3333 0.3529
0.3333 0.6667 0.6471
0.0000 0.0000 0.0000
```

Density of states at the Fermi level, states/eV/cell: 3.137
DFT formation energy, eV/atom: -0.568
Total DFT energy (no corrections), eV/atom: -4.76

No. 7
## PmNd5Sm4 (GGA-PBE)

Data for a relaxed PmNd5Sm4 crystal.

Cell and atoms, written as POSCAR:
```
PmNd5Sm4
1.0
6.2440 0.0000 0.0000
3.1220 7.5138 0.0000
3.1220 0.0000 7.5138
Pm Nd Sm
1 5 4
Direct
0.2211 0.0000 0.0000
0.7666 0.3788 0.9969
0.1455 0.9969 0.6212
0.7635 0.0031 0.3788
0.1424 0.6212 0.0031
0.6848 0.0000 0.0000
0.4449 0.3275 0.6760
0.7724 0.6760 0.6725
0.1208 0.3240 0.3275
0.4483 0.6725 0.3240
```

Density of states at the Fermi level, states/eV/cell: 14.721
DFT formation energy, eV/atom: 0.241
Total DFT energy (no corrections), eV/atom: -4.51

No. 8
## CdSn2B (GGA-PBE)

Data for a relaxed CdSn2B crystal.

Cell and atoms, written as POSCAR:
```
CdSn2B
1.0
-0.1562 2.8378 5.5471
-5.8691 -1.9301 0.8221
-1.2630 -3.8975 5.4600
B Sn Cd
2 4 2
Direct
0.5000 0.5000 0.0000
0.2500 0.7500 0.5000
0.5401 0.1250 0.2500
0.2099 0.6250 0.2500
0.3750 0.4599 0.7500
0.8750 0.7901 0.7500
0.0000 0.0000 0.0000
0.7500 0.2500 0.5000
```

Density of states at the Fermi level, states/eV/cell: 3.142
DFT formation energy, eV/atom: 0.474
Total DFT energy (no corrections), eV/atom: -3.43

No. 9
## CeAgPt (GGA-PBE)

Data for a relaxed CeAgPt crystal.

Cell and atoms, written as POSCAR:
```
CeAgPt
1.0
-0.4819 -0.0113 -3.3897
1.0814 -4.5739 -0.1385
-4.4619 1.3429 0.6299
Ag Ce Pt
1 1 1
Direct
0.1671 0.3333 0.6667
0.6667 0.6667 0.3333
0.1662 0.0000 0.0000
```

Density of states at the Fermi level, states/eV/cell: 5.366
DFT formation energy, eV/atom: -0.547
Total DFT energy (no corrections), eV/atom: -5.49

No. 10
## La3Ce2Ru4 (GGA-PBE)

Data for a relaxed La3Ce2Ru4 crystal.

Cell and atoms, written as POSCAR:
```
La3Ce2Ru4
1.0
-3.6571 -2.3748 -4.6268
1.3194 -8.0467 3.6263
-5.6573 -2.6521 6.3719
La Ce Ru
6 4 8
Direct
0.9504 0.9862 0.2081
0.5496 0.7919 0.0138
0.0496 0.0138 0.7919
0.4504 0.2081 0.9862
0.2500 0.5955 0.4045
0.7500 0.4045 0.5955
0.3700 0.1988 0.3958
0.1300 0.6042 0.8012
0.6300 0.8012 0.6042
0.8700 0.3958 0.1988
0.4651 0.9050 0.3073
0.0349 0.6927 0.0950
0.5349 0.0950 0.6927
0.9651 0.3073 0.9050
0.8581 0.1442 0.4447
0.6419 0.5553 0.8558
0.1419 0.8558 0.5553
0.3581 0.4447 0.1442
```

Density of states at the Fermi level, states/eV/cell: 12.532
DFT formation energy, eV/atom: -0.279
Total DFT energy (no corrections), eV/atom: -7.36

No. 11
## K12Tl3Br5 (GGA-PBE)

Data for a relaxed K12Tl3Br5 crystal.

Cell and atoms, written as POSCAR:
```
K12Tl3Br5
1.0
-10.5307 3.2950 -13.6725
11.7608 -12.2575 -4.4864
-9.6044 -5.7735 13.5319
Tl Br K
12 20 48
Direct
0.7500 0.3750 0.1250
0.8750 0.7500 0.1250
0.3750 0.7500 0.6250
0.2500 0.1250 0.3750
0.8750 0.1250 0.2500
0.3750 0.6250 0.2500
0.6250 0.3750 0.7500
0.1250 0.8750 0.7500
0.7500 0.8750 0.6250
0.6250 0.2500 0.3750
0.1250 0.2500 0.8750
0.2500 0.6250 0.8750
0.1250 0.3750 0.2500
0.0000 0.5000 0.0000
0.0000 0.0000 0.0000
0.3750 0.2500 0.1250
0.5000 0.0000 0.5000
0.5000 0.5000 0.0000
0.1250 0.7500 0.3750
0.7500 0.1250 0.8750
0.7500 0.6250 0.3750
0.3750 0.1250 0.7500
0.6250 0.8750 0.2500
0.5000 0.5000 0.5000
0.5000 0.0000 0.0000
0.0000 0.0000 0.5000
0.2500 0.3750 0.6250
0.2500 0.8750 0.1250
0.0000 0.5000 0.5000
0.8750 0.2500 0.6250
0.6250 0.7500 0.8750
0.8750 0.6250 0.7500
0.7151 0.1293 0.0415
0.3264 0.5415 0.4122
0.9585 0.3707 0.2849
0.5415 0.2151 0.1293
0.5857 0.7151 0.6736
0.9585 0.5878 0.1736
0.3264 0.7849 0.4143
0.0878 0.9143 0.1293
0.5878 0.9585 0.6736
0.7151 0.5857 0.1736
0.7849 0.4585 0.3707
0.8264 0.9122 0.0415
0.1293 0.7151 0.5415
0.3707 0.4122 0.0857
0.0857 0.9122 0.3707
0.4143 0.1293 0.5878
0.0857 0.1736 0.2151
0.4585 0.6736 0.0878
0.8264 0.9143 0.2849
0.1293 0.4143 0.0878
0.3707 0.9585 0.7849
0.5878 0.6293 0.4143
0.9122 0.8264 0.5415
0.7849 0.3264 0.9143
0.4122 0.3707 0.5857
0.0878 0.1736 0.4585
0.2151 0.6736 0.0857
0.1736 0.0857 0.7151
0.6293 0.0415 0.2151
0.8707 0.5857 0.9122
0.5415 0.3264 0.9122
0.5857 0.8707 0.4122
0.9143 0.8264 0.7849
0.9143 0.0878 0.6293
0.8707 0.2849 0.4585
0.1736 0.0878 0.9585
0.6293 0.5878 0.9143
0.4122 0.0415 0.3264
0.2849 0.4143 0.8264
0.2151 0.5415 0.6293
0.9122 0.0857 0.8707
0.6736 0.2151 0.5857
0.4585 0.7849 0.8707
0.0415 0.4122 0.8264
0.4143 0.2849 0.3264
0.0415 0.6293 0.7151
0.6736 0.4585 0.5878
0.2849 0.8707 0.9585
```

Density of states at the Fermi level, states/eV/cell: 51.310
Formation energy (no corrections), eV/f.u.: -15.1
Total DFT energy (no corrections), eV/atom: -2.19

No. 12
## Tb6Er5Mg2 (GGA-PBE)

Data for a relaxed Tb6Er5Mg2 crystal.

Cell and atoms, written as POSCAR:
```
Tb6Er5Mg2
1.0
3.5178 0.0000 0.0000
0.0000 10.2970 0.0000
0.0000 0.0000 22.4390
Tb Er Mg
12 10 4
Direct
0.0000 0.1426 0.3820
0.0000 0.8574 0.6180
0.0000 0.6426 0.1180
0.0000 0.3574 0.8820
0.5000 0.3296 0.1336
0.5000 0.6704 0.8664
0.5000 0.8296 0.3664
0.5000 0.1704 0.6336
0.0000 0.5183 0.3871
0.0000 0.4817 0.6129
0.0000 0.0183 0.1129
0.0000 0.9817 0.8871
0.5000 0.3342 0.4941
0.5000 0.6658 0.5059
0.5000 0.8342 0.0059
0.5000 0.1658 0.9941
0.5000 0.5778 0.2510
0.5000 0.4222 0.7490
0.5000 0.0778 0.2490
0.5000 0.9222 0.7510
0.5000 0.5000 0.0000
0.5000 0.0000 0.5000
0.0000 0.3280 0.2604
0.0000 0.6720 0.7396
0.0000 0.8280 0.2396
0.0000 0.1720 0.7604
```

Density of states at the Fermi level, states/eV/cell: 46.067
DFT formation energy, eV/atom: 0.141
Total DFT energy (no corrections), eV/atom: -4.00